# LiScTa2 (PBEsol, relaxed)
# Calculated formation energy   2.756 eV/f.u.
# SG   Fm-3m, No. 225
# Uncorrected energy   -30.9 eV for the cell shown
# Offset from the most stable computed form   0.254 eV/atom
data_LiScTa2
_chemical_formula_sum 'Li1 Sc1 Ta2'
_space_group_name_H-M_alt 'P 1'
_space_group_IT_number 1
_space_group_name_Hall 'P 1'
_cell_length_a 4.601
_cell_length_b 4.601
_cell_length_c 4.601
_cell_angle_alpha 60.00
_cell_angle_beta 60.00
_cell_angle_gamma 60.00
loop_
_atom_site_label
_atom_site_type_symbol
_atom_site_fract_x
_atom_site_fract_y
_atom_site_fract_z
Li1 Li 0.000 0.000 0.000
Sc1 Sc 0.500 0.500 0.500
Ta1 Ta 0.250 0.250 0.250
Ta2 Ta 0.750 0.750 0.750